1.
VASP calculation (SCAN) on a crystal of KHgP relaxed with PBEsol.

Calculated values
ΔE_f = 0.34 eV/atom
crystal system = trigonal
total moment = 0.00 Bohr magnetons per cell

a = 3.3683 Å, b = 3.3683 Å, c = 7.4729 Å
α = 90.00°, β = 90.00°, γ = 120.00°
Space group P3m1 (No. 156)
Unique sites:
1 K 0.0000 0.0000 0.0000
2 Hg 0.6667 0.3333 0.3721
3 P 0.3333 0.6667 0.6574

2.
VASP calculation (SCAN) on a crystal of Be2CrCl relaxed with PBEsol.

Calculated values
uncorrected formation energy = 0.57 eV/atom
energy relative to the lowest polymorph listed for this composition = 240 meV per atom
crystal system = tetragonal
total moment = 5.55 Bohr magnetons per cell

a = 3.314 Å, b = 3.314 Å, c = 8.297 Å
α = 90.00°, β = 90.00°, γ = 90.00°
Space group I4/mmm (No. 139)
Unique sites:
1 Be 0.000 0.500 0.250
2 Cr 0.000 0.000 0.000
3 Cl 0.000 0.000 0.500

3.
VASP calculation (SCAN) on a crystal of NbAlAu2 relaxed with PBEsol.

Calculated values
ΔE_f = 0.04 eV/atom
crystal system = tetragonal
total moment = 0.00 Bohr magnetons per cell

a = 3.869 Å, b = 3.869 Å, c = 19.198 Å
α = 90.00°, β = 90.00°, γ = 90.00°
Space group I-42d (No. 122)
Unique sites:
1 Nb 0.000 0.000 0.000
2 Al 0.000 0.000 0.500
3 Au 0.243 0.250 0.625

4.
VASP calculation (SCAN) on a crystal of SbMoNO2 relaxed with PBEsol.

Calculated values
uncorrected formation energy = -0.63 eV/atom
crystal system = tetragonal
total moment = 0.00 Bohr magnetons per cell

a = 3.884 Å, b = 3.884 Å, c = 4.060 Å
α = 90.00°, β = 90.00°, γ = 90.00°
Space group P4/mmm (No. 123)
Unique sites:
1 Sb 0.000 0.000 0.000
2 Mo 0.500 0.500 0.500
3 N 0.500 0.500 0.000
4 O 0.000 0.500 0.500

5.
VASP calculation (SCAN) on a crystal of KZrCr relaxed with PBEsol.

Calculated values
ΔE_f = 1.55 eV/atom
crystal system = cubic
total moment = 11.95 Bohr magnetons per cell

a = 6.921 Å, b = 6.921 Å, c = 6.921 Å
α = 90.00°, β = 90.00°, γ = 90.00°
Space group F-43m (No. 216)
Unique sites:
1 K 0.000 0.000 0.000
2 Zr 0.000 0.000 0.500
3 Cr 0.250 0.250 0.750

6.
VASP calculation (SCAN) on a crystal of CoAs relaxed with PBEsol.

Calculated values
ΔE_f = 0.05 eV/atom
crystal system = orthorhombic
total moment = 0.00 Bohr magnetons per cell

a = 2.911 Å, b = 4.466 Å, c = 3.902 Å
α = 90.00°, β = 90.00°, γ = 90.00°
Space group Pmmn (No. 59, origin choice 2)
Unique sites:
1 Co 0.250 0.250 0.143
2 As 0.250 0.750 0.353

7.
VASP calculation (SCAN) on a crystal of CaZrW relaxed with PBEsol.

Calculated values
energy relative to the lowest polymorph listed for this composition = 0 meV per atom
ΔE_f = 0.75 eV/atom
crystal system = trigonal
total moment = 0.00 Bohr magnetons per cell

a = 5.1290 Å, b = 5.1290 Å, c = 2.6803 Å
α = 90.00°, β = 90.00°, γ = 120.00°
Space group P3m1 (No. 156)
Unique sites:
1 Ca 0.0000 0.0000 0.0000
2 Zr 0.6667 0.3333 0.0258
3 W 0.3333 0.6667 0.5130

8.
VASP calculation (SCAN) on a crystal of MgTlPb2 relaxed with PBEsol.

Calculated values
ΔE_f = -0.08 eV/atom
crystal system = monoclinic
total moment = 0.00 Bohr magnetons per cell

a = 3.390 Å, b = 4.418 Å, c = 7.367 Å
α = 90.00°, β = 90.12°, γ = 90.00°
Space group P2/m (No. 10)
Unique sites:
1 Mg 0.000 0.000 0.000
2 Tl 0.000 0.000 0.500
3 Pb 0.500 0.500 0.228